No. 1
Here is La5Sm2Pb after structural relaxation from Alexandria. Energies are from GGA-PBE.

a b c (Å): 8.5993 7.3479 6.8778
angles (deg): 74.30 55.35 50.35
Last column: nearest neighbours and their distance in Å.
Element x y z (fractional)
La  0.0000  0.0000  0.0000  8 La 3.51-3.84, 2 Pb 3.70, 2 Sm 3.73
La  0.0178  0.4686  0.9822  4 La 3.33-3.65, 4 Sm 3.51-3.73, 1 Pb 3.56
La  0.4172  0.4172  0.0828  2 Pb 3.56, 4 Sm 3.58-3.79, 6 La 3.60-3.70
La  0.4686  0.0178  0.5314  4 La 3.33-3.65, 4 Sm 3.51-3.73, 1 Pb 3.56
La  0.9172  0.9172  0.5828  2 Pb 3.56, 4 Sm 3.58-3.79, 6 La 3.60-3.70
Sm  0.4289  0.8859  0.1141  1 Pb 3.39, 9 La 3.51-3.79, 2 Sm 3.73
Sm  0.8859  0.4289  0.5711  1 Pb 3.39, 9 La 3.51-3.79, 2 Sm 3.73
Pb  0.4910  0.4910  0.5090  2 Sm 3.39, 10 La 3.56-3.79

Properties
- Total magnetic moment: 0.00 μB/atom
- VASP energy: -4.880 eV/atom
- Space-group type: Fmm2 (42)
- ΔH_f (0 K): -1.3 eV per formula unit

No. 2
Here is CeHg2Au after structural relaxation from Alexandria. Energies are from GGA-PBE.

a b c (Å): 5.0985 5.0985 5.0985
angles (deg): 60.00 60.00 60.00
Last column: nearest neighbours and their distance in Å.
Element x y z (fractional)
Ce  0.0000  0.0000  0.0000  8 Hg 3.12
Hg  0.2500  0.2500  0.2500  4 Au 3.12, 4 Ce 3.12
Hg  0.7500  0.7500  0.7500  4 Au 3.12, 4 Ce 3.12
Au  0.5000  0.5000  0.5000  8 Hg 3.12

Properties
- Total magnetic moment: 0.18 μB/atom
- VASP energy: -2.819 eV/atom
- Space-group type: Fm-3m (225)
- ΔH_f (0 K): -1.5 eV per formula unit

No. 3
Here is SrLi2CaCl6 after structural relaxation from Alexandria. Energies are from GGA-PBE.

a b c (Å): 7.3163 7.3163 7.3163
angles (deg): 55.91 55.91 55.91
Last column: nearest neighbours and their distance in Å.
Element x y z (fractional)
Sr  0.0000  0.0000  0.0000  6 Cl 2.88-2.94
Li  0.2889  0.2889  0.2889  3 Cl 2.51
Li  0.7922  0.7922  0.7922  3 Cl 2.49
Ca  0.4946  0.4946  0.4946  6 Cl 2.76-2.77
Cl  0.0718  0.6702  0.4421  1 Li 2.49, 1 Ca 2.77
Cl  0.1932  0.5639  0.9190  1 Li 2.51, 1 Ca 2.76
Cl  0.4421  0.0718  0.6702  1 Li 2.49, 1 Ca 2.77
Cl  0.5639  0.9190  0.1932  1 Li 2.51, 1 Ca 2.76
Cl  0.6702  0.4421  0.0718  1 Li 2.49, 1 Ca 2.77
Cl  0.9190  0.1932  0.5639  1 Li 2.51, 1 Ca 2.76

Properties
- ΔE_f (raw): -21.60 eV per formula unit
- Total magnetic moment: 0.00 μB/atom
- VASP energy: -4.020 eV/atom
- Space-group type: R3 (146)